1.
PBE-GGA TbPrTm2Te6, relaxed; E_form (uncorrected) = -1.350 eV/atom; magnetic moment = 0.00 μB per formula unit; symmetry = No. 146
1.0
3.8761 2.2378 7.0093
-3.8761 2.2378 7.0093
0.0000 -4.4757 7.0093
Tb Pr Tm Te
1 1 2 6
Direct
0.0000 0.0000 0.0000
0.5036 0.5036 0.5036
0.3145 0.3145 0.3145
0.8122 0.8122 0.8122
0.0818 0.4144 0.7126
0.1985 0.9285 0.5852
0.4144 0.7126 0.0818
0.5852 0.1985 0.9285
0.7126 0.0818 0.4144
0.9285 0.5853 0.1985


2.
PBE-GGA Th3TeC, relaxed; N(E_F) = 8.41 states/eV per cell; E_form (uncorrected) = -0.322 eV/atom; magnetic moment = 0.00 μB per formula unit; symmetry = No. 11
1.0
7.5484 0.0000 0.0000
0.0000 3.9731 0.0000
-1.5490 0.0000 9.9677
Th Te C
6 2 2
Direct
0.1721 0.2500 0.4118
0.1826 0.7500 0.0847
0.2441 0.7500 0.7668
0.7559 0.2500 0.2332
0.8174 0.2500 0.9153
0.8279 0.7500 0.5882
0.4806 0.7500 0.3430
0.5194 0.2500 0.6570
0.0394 0.2500 0.1609
0.9606 0.7500 0.8391


3.
PBE-GGA TbPrSiPd, relaxed; N(E_F) = 2.62 states/eV per cell; excess energy over the best structure of this formula in the dataset = 0.52 eV per formula unit; E_form (uncorrected) = -0.642 eV/atom; magnetic moment = 0.00 μB per formula unit; symmetry = No. 216
1.0
0.0000 3.6077 3.6077
3.6077 0.0000 3.6077
3.6077 3.6077 0.0000
Tb Pr Si Pd
1 1 1 1
Direct
0.0000 0.0000 0.0000
0.5000 0.5000 0.5000
0.7500 0.7500 0.7500
0.2500 0.2500 0.2500


4.
PBE-GGA TbPr4Nd2Tm2, relaxed; N(E_F) = 14.79 states/eV per cell; energy relative to the elements = 24 meV/atom; magnetic moment = 0.00 μB per formula unit; symmetry = No. 12
1.0
7.7468 -2.5818 0.0000
7.7468 2.5818 0.0000
-2.5878 0.0000 7.6829
Tb Pr Nd Tm
1 4 2 2
Direct
0.0000 0.0000 0.0000
0.2219 0.2219 0.3289
0.4455 0.4455 0.6708
0.5545 0.5545 0.3292
0.7781 0.7781 0.6711
0.1118 0.1118 0.6705
0.8882 0.8882 0.3295
0.3326 0.3326 0.0003
0.6674 0.6674 0.9997


5.
PBE-GGA Li2CaGePt, relaxed; N(E_F) = 2.66 states/eV per cell; energy relative to the elements = -416 meV/atom; magnetic moment = 0.12 μB per formula unit; symmetry = No. 123
1.0
4.7872 0.0000 0.0000
0.0000 4.7872 0.0000
0.0000 0.0000 4.7413
Li Ca Ge Pt
2 1 1 1
Direct
0.0000 0.5000 0.0000
0.5000 0.0000 0.0000
0.0000 0.0000 0.5000
0.5000 0.5000 0.5000
0.5000 0.5000 0.0000


6.
PBE-GGA GaC, relaxed; N(E_F) = 4.03 states/eV per cell; energy relative to the elements = 1198 meV/atom; excess energy over the best structure of this formula in the dataset = 1.92 eV per formula unit; magnetic moment = 0.00 μB per formula unit; symmetry = No. 70
1.0
0.0000 4.2893 4.3267
3.4770 0.0000 4.3267
3.4770 4.2893 0.0000
Ga C
4 4
Direct
0.0503 0.0503 0.6997
0.3003 0.3003 0.9497
0.6997 0.6997 0.0503
0.9497 0.9497 0.3003
0.0482 0.7018 0.0482
0.2982 0.9518 0.2982
0.7018 0.0482 0.7018
0.9518 0.2982 0.9518


7.
PBE-GGA RbScSe2, relaxed; N(E_F) = 0.00 states/eV per cell; E_form (uncorrected) = -1.098 eV/atom; magnetic moment = 0.00 μB per formula unit; symmetry = No. 63
1.0
1.9545 -11.1179 0.0000
1.9545 11.1179 0.0000
0.0000 0.0000 5.9066
Rb Sc Se
2 2 4
Direct
0.0553 0.9447 0.7500
0.9447 0.0553 0.2500
0.3135 0.6865 0.7500
0.6865 0.3135 0.2500
0.1051 0.8949 0.2500
0.2013 0.7987 0.7500
0.7987 0.2013 0.2500
0.8949 0.1051 0.7500


8.
PBE-GGA CdAsBr2, relaxed; N(E_F) = 2.66 states/eV per cell; excess energy over the best structure of this formula in the dataset = 1.57 eV per formula unit; E_form (uncorrected) = 0.114 eV/atom; magnetic moment = 0.00 μB per formula unit; symmetry = No. 119
1.0
-2.0116 2.0116 6.8289
2.0116 -2.0116 6.8289
2.0116 2.0116 -6.8289
Cd As Br
1 1 2
Direct
0.0000 0.0000 0.0000
0.2500 0.7500 0.5000
0.5000 0.5000 0.0000
0.7500 0.2500 0.5000


The calculation returns the following DFT total energy values, one per record and in order: -50.70; -72.47; -22.59; -42.01; -18.57; -39.42; -37.32; -8.45 eV for the cell shown.